# 1
Computed, not measured: a relaxed Sc11Tl9Au4 crystal at the PBE level of DFT.

Cell and atoms, written as POSCAR:
```
Sc11Tl9Au4
1.0
7.143 -10.735 0.000
7.143 10.735 0.000
0.000 0.000 3.523
Sc Tl Au
11 9 4
Direct
0.000 0.000 0.000 Sc
0.070 0.413 0.000 Sc
0.160 0.840 0.000 Sc
0.302 0.302 0.000 Sc
0.368 0.632 0.000 Sc
0.413 0.070 0.000 Sc
0.587 0.930 0.000 Sc
0.632 0.368 0.000 Sc
0.698 0.698 0.000 Sc
0.840 0.160 0.000 Sc
0.930 0.587 0.000 Sc
0.060 0.212 0.500 Tl
0.146 0.632 0.500 Tl
0.212 0.060 0.500 Tl
0.368 0.854 0.500 Tl
0.500 0.500 0.500 Tl
0.632 0.146 0.500 Tl
0.788 0.940 0.500 Tl
0.854 0.368 0.500 Tl
0.940 0.788 0.500 Tl
0.249 0.450 0.500 Au
0.450 0.249 0.500 Au
0.550 0.751 0.500 Au
0.751 0.550 0.500 Au
```

# 2
Li5IrIN2 (PBE, optimized geometry); raw formation energy = -0.48 eV/atom
1.0
4.327 0.000 0.000
0.000 4.327 0.000
0.000 0.000 7.773
Li Ir I N
5 1 1 2
Direct
0.000 0.000 0.000 Li
0.000 0.500 0.286 Li
0.000 0.500 0.714 Li
0.500 0.000 0.286 Li
0.500 0.000 0.714 Li
0.000 0.000 0.500 Ir
0.500 0.500 0.000 I
0.000 0.000 0.261 N
0.000 0.000 0.739 N

# 3
LaZn4Ni (PBE, optimized geometry); energy above the lowest structure with this stoichiometry = 0.392 eV per atom
1.0
4.517 0.000 0.000
0.000 4.517 0.000
0.000 0.000 6.773
La Zn Ni
1 4 1
Direct
0.000 0.000 0.000 La
0.000 0.500 0.500 Zn
0.500 0.000 0.500 Zn
0.500 0.500 0.172 Zn
0.500 0.500 0.828 Zn
0.500 0.500 0.500 Ni

# 4
K3Mn2PbCl9 (PBE, optimized geometry); raw formation energy = -1.43 eV/atom
1.0
7.304 0.000 0.000
-3.652 6.326 0.000
0.000 0.000 9.518
K Mn Pb Cl
3 2 1 9
Direct
0.000 0.000 0.000 K
0.333 0.667 0.731 K
0.667 0.333 0.269 K
0.333 0.667 0.159 Mn
0.667 0.333 0.841 Mn
0.000 0.000 0.500 Pb
0.000 0.500 0.000 Cl
0.171 0.343 0.304 Cl
0.171 0.829 0.304 Cl
0.343 0.171 0.696 Cl
0.500 0.000 0.000 Cl
0.500 0.500 0.000 Cl
0.657 0.829 0.304 Cl
0.829 0.171 0.696 Cl
0.829 0.657 0.696 Cl

# 5
Computed, not measured: a relaxed ScCuIr2 crystal at the PBE level of DFT.

Cell and atoms, written as POSCAR:
```
ScCuIr2
1.0
5.515 0.000 0.000
0.000 8.829 0.000
-1.311 0.000 2.491
Sc Cu Ir
2 2 4
Direct
0.000 0.000 0.000 Sc
0.500 0.500 0.000 Sc
0.000 0.500 0.000 Cu
0.500 0.000 0.000 Cu
0.250 0.250 0.500 Ir
0.250 0.750 0.500 Ir
0.750 0.250 0.500 Ir
0.750 0.750 0.500 Ir
```

# 6
Computed, not measured: a relaxed PuSbH2 crystal at the PBE level of DFT.

Cell and atoms, written as POSCAR:
```
PuSbH2
1.0
3.611 0.000 0.000
0.000 11.639 0.000
0.000 0.000 6.063
Pu Sb H
4 4 8
Direct
0.000 0.216 0.250 Pu
0.000 0.784 0.750 Pu
0.500 0.284 0.750 Pu
0.500 0.716 0.250 Pu
0.000 0.053 0.750 Sb
0.000 0.947 0.250 Sb
0.500 0.447 0.250 Sb
0.500 0.553 0.750 Sb
0.000 0.314 0.553 H
0.000 0.314 0.947 H
0.000 0.686 0.053 H
0.000 0.686 0.447 H
0.500 0.186 0.053 H
0.500 0.186 0.447 H
0.500 0.814 0.553 H
0.500 0.814 0.947 H
```

Number 1: size of the total moment 0.7 Bohr magnetons per cell, raw total energy -4.7654 eV per atom. Number 2: size of the total moment 1.0 Bohr magnetons per cell, raw total energy -4.5536 eV per atom. Number 3: size of the total moment 0.0 Bohr magnetons per cell, raw total energy -2.5780 eV per atom. Number 4: size of the total moment 10.0 Bohr magnetons per cell, raw total energy -4.2274 eV per atom. Number 5: size of the total moment 0.0 Bohr magnetons per cell, raw total energy -7.3244 eV per atom. Number 6: size of the total moment 19.4 Bohr magnetons per cell, raw total energy -6.5777 eV per atom.